[1]
Pu2PaCrC4 | Alexandria | PBE-GGA | relaxed; symmetry = Cmcm (63); V = 232 Å³/cell; total moment = 9.2 μB/f.u.; energy of formation = 14 kJ/mol of formula units; E_tot = -10.566 eV per atom; calculated density = 11.72 Mg/m³
1.0
3.3915 0.0000 0.0000
-1.6958 5.7052 0.0000
0.0000 0.0000 11.9946
Pu Pa Cr C
4 2 2 8
Direct
0.3656 0.7312 0.5451
0.6344 0.2688 0.0451
0.6344 0.2688 0.4549
0.3656 0.7312 0.9549
0.0996 0.1992 0.7500
0.9004 0.8008 0.2500
0.8358 0.6715 0.7500
0.1642 0.3285 0.2500
0.2719 0.5438 0.1350
0.7281 0.4562 0.6350
0.7281 0.4562 0.8650
0.2719 0.5438 0.3650
0.0000 0.0000 0.5000
0.0000 0.0000 0.0000
0.4373 0.8745 0.7500
0.5627 0.1255 0.2500

=====

[2]
Y2CoRh | Alexandria | PBE-GGA | relaxed; symmetry = P4mm (99); V = 85 Å³/cell; total moment = 0.3 μB/f.u.; energy of formation = -68 kJ/mol of formula units; E_tot = -7.021 eV per atom; calculated density = 6.64 Mg/m³
1.0
-2.6978 2.6255 0.7810
-2.7389 -2.6010 -0.7174
0.0575 -1.5845 5.5255
Co Rh Y
1 1 2
Direct
0.0000 0.0000 0.4408
0.5000 0.5000 0.8066
0.0000 0.0000 0.9266
0.5000 0.5000 0.3261

=====

[3]
BaIn5 | Alexandria | PBE-GGA | relaxed; symmetry = P4/mmm (123); V = 182 Å³/cell; total moment = 0.0 μB/f.u.; energy of formation = -104 kJ/mol of formula units; E_tot = -2.782 eV per atom; calculated density = 6.48 Mg/m³
1.0
4.1151 0.0000 0.0000
0.0000 4.1151 0.0000
0.0000 0.0000 10.7591
Ba In
1 5
Direct
0.5000 0.5000 0.0000
0.0000 0.0000 0.7842
0.0000 0.0000 0.2158
0.5000 0.5000 0.6496
0.5000 0.5000 0.3504
0.0000 0.0000 0.5000